1.
## PmNd2Ir9 (GGA-PBE)

Data for a relaxed PmNd2Ir9 crystal.

Cell lengths 5.3738, 5.3738, 9.3886 Å; angles 73.37, 73.37, 60.00 degrees
Atoms (fractional coordinates):
1 Ir 0.6679 0.6679 0.9964
2 Ir 0.9160 0.4209 0.2421
3 Pm 0.0000 0.0000 0.0000
4 Ir 0.4209 0.4209 0.2421
5 Ir 0.5000 0.5000 0.5000
6 Ir 0.5791 0.5791 0.7579
7 Nd 0.1395 0.1395 0.5815
8 Ir 0.5791 0.0840 0.7579
9 Nd 0.8605 0.8605 0.4185
10 Ir 0.0840 0.5791 0.7579
11 Ir 0.4209 0.9160 0.2421
12 Ir 0.3321 0.3321 0.0036

Calculated values
Theoretical density   16.21 Mg/m³
Energy relative to the elements   -518 meV/atom
Total magnetic moment   0.00 μB/f.u.
DFT total energy   -8.35 eV per atom

2.
## Li2Ce3Ge4 (GGA-PBE)

Data for a relaxed Li2Ce3Ge4 crystal.

Cell lengths 4.2657, 6.0539, 8.5111 Å; angles 110.79, 90.00, 110.63 degrees
Site moments in Bohr magnetons follow the coordinates.
Atoms (fractional coordinates):
1 Ge 0.7183 0.4366 0.0620  -0.01
2 Ge 0.9081 0.8163 0.6134  -0.03
3 Ge 0.0919 0.1837 0.3866  -0.03
4 Ce 0.6154 0.2308 0.6681  0.51
5 Ge 0.2817 0.5634 0.9380  -0.01
6 Li 0.6863 0.3726 0.3408  0.00
7 Ce 0.0000 0.0000 0.0000  0.59
8 Ce 0.3846 0.7692 0.3319  0.51
9 Li 0.3137 0.6274 0.6592  0.00

Calculated values
Theoretical density   6.32 Mg/m³
Energy relative to the elements   -607 meV/atom
Total magnetic moment   1.70 μB/f.u.
DFT total energy   -5.06 eV per atom